(1)
A geometry-optimized KRb2PtBr6 structure, computed with PBE.

## Properties
- Symmetry: I4/mmm (139)
- Magnetic moment: 1.0 μB/f.u.
- Crystal system: tetragonal
- Electronic total energy: -2.99 eV per atom

```
KRb2PtBr6
1.0
7.939 0.000 0.000
0.000 7.939 0.000
3.969 3.969 5.909
K Br Rb Pt
1 6 2 1
direct
0.500 0.500 0.000 K
0.236 0.236 0.529 Br
0.764 0.764 0.471 Br
0.222 0.222 0.000 Br
0.778 0.778 0.000 Br
0.778 0.222 0.000 Br
0.222 0.778 0.000 Br
0.750 0.250 0.500 Rb
0.250 0.750 0.500 Rb
0.000 0.000 0.000 Pt
```

(2)
A geometry-optimized Pr5Hg2Pb structure, computed with PBE.

## Properties
- Symmetry: I4/mcm (140)
- Magnetic moment: 0.0 μB/f.u.
- Crystal system: tetragonal
- Electronic total energy: -3.92 eV per atom

```
Pr5Hg2Pb
1.0
8.724 0.000 0.000
0.000 8.724 0.000
-4.362 -4.362 6.694
Pr Hg Pb
10 4 2
direct
0.506 0.697 0.703 Pr
0.803 0.994 0.297 Pr
0.000 0.000 0.000 Pr
0.500 0.500 0.000 Pr
0.197 0.006 0.703 Pr
0.697 0.197 0.703 Pr
0.006 0.506 0.703 Pr
0.303 0.803 0.297 Pr
0.994 0.494 0.297 Pr
0.494 0.303 0.297 Pr
0.139 0.361 0.000 Hg
0.639 0.139 0.000 Hg
0.361 0.861 0.000 Hg
0.861 0.639 0.000 Hg
0.750 0.750 0.500 Pb
0.250 0.250 0.500 Pb
```

(3)
A geometry-optimized MgCdInPb structure, computed with PBE.

## Properties
- Symmetry: Pm (6)
- Magnetic moment: 0.0 μB/f.u.
- Crystal system: monoclinic
- Electronic total energy: -2.26 eV per atom

```
MgCdInPb
1.0
3.279 0.000 -0.076
0.000 3.449 0.000
-1.831 0.000 9.265
Mg Cd In Pb
1 1 1 1
direct
0.360 0.000 0.682 Mg
0.987 0.500 0.892 Cd
0.638 0.000 0.128 In
0.723 0.500 0.437 Pb
```

(4)
A geometry-optimized BaRu2 structure, computed with PBE.

## Properties
- Symmetry: C2/m (12)
- Magnetic moment: 0.0 μB/f.u.
- Crystal system: monoclinic
- Electronic total energy: -6.42 eV per atom

```
BaRu2
1.0
-0.592 0.465 4.600
-0.451 -3.275 3.286
9.770 -0.813 3.365
Ba Ru
2 4
direct
0.314 0.314 0.697 Ba
0.686 0.686 0.303 Ba
0.658 0.658 0.981 Ru
0.027 0.027 0.115 Ru
0.973 0.973 0.885 Ru
0.342 0.342 0.019 Ru
```

(5)
A geometry-optimized Er4GaRu2Rh structure, computed with PBE.

## Properties
- Symmetry: R-3m (166)
- Magnetic moment: 0.0 μB/f.u.
- Crystal system: trigonal
- Electronic total energy: -6.49 eV per atom

```
Er4GaRu2Rh
1.0
4.821 0.000 0.000
2.410 4.175 0.000
2.410 1.392 7.936
Er Ga Ru Rh
4 1 2 1
direct
0.378 0.378 0.865 Er
0.873 0.873 0.381 Er
0.127 0.127 0.619 Er
0.622 0.622 0.135 Er
0.000 0.000 0.000 Ga
0.749 0.749 0.754 Ru
0.251 0.251 0.246 Ru
0.500 0.500 0.500 Rh
```

(6)
A geometry-optimized Cs4CuAs2Au2 structure, computed with PBE.

## Properties
- Symmetry: C2/m (12)
- Magnetic moment: 0.0 μB/f.u.
- Crystal system: monoclinic
- Electronic total energy: -2.87 eV per atom

```
Cs4CuAs2Au2
1.0
5.952 -0.745 -0.507
0.639 7.745 -0.604
0.639 2.282 7.425
Cs Cu As Au
4 1 2 2
direct
0.247 0.578 0.142 Cs
0.753 0.858 0.422 Cs
0.753 0.422 0.858 Cs
0.247 0.142 0.578 Cs
0.500 0.000 0.000 Cu
0.149 0.072 0.072 As
0.851 0.928 0.928 As
0.253 0.621 0.621 Au
0.747 0.379 0.379 Au
```

Copy entry 5 word for word.
A geometry-optimized Er4GaRu2Rh structure, computed with PBE.

## Properties
- Symmetry: R-3m (166)
- Magnetic moment: 0.0 μB/f.u.
- Crystal system: trigonal
- Electronic total energy: -6.49 eV per atom

```
Er4GaRu2Rh
1.0
4.821 0.000 0.000
2.410 4.175 0.000
2.410 1.392 7.936
Er Ga Ru Rh
4 1 2 1
direct
0.378 0.378 0.865 Er
0.873 0.873 0.381 Er
0.127 0.127 0.619 Er
0.622 0.622 0.135 Er
0.000 0.000 0.000 Ga
0.749 0.749 0.754 Ru
0.251 0.251 0.246 Ru
0.500 0.500 0.500 Rh
```